Here is a relaxed HoTlW crystal from the Open Quantum Materials Database. Energies are from PBE-GGA.

Its mass density is 11.5 Mg/m³. Its offset from the most stable computed form is 0.0 meV/atom. As for the total magnetization: 8.4 Bohr magnetons per cell. As for the volume: 320.4 Å³/cell.

Cell lengths 6.843, 6.843, 6.843 Å; angles 90.00, 90.00, 90.00 degrees
Space group F-43m (No. 216)
Inequivalent atoms, fractional coordinates:
Ho: 0.000 0.000 0.000 x4
Tl: 0.000 0.000 0.500 x4
W: 0.250 0.250 0.250 x4